First-principles (PBE-GGA) data for a geometry-optimized Eu2CdAu structure, as listed in Alexandria.

## Properties
E   -27.012 eV per cell
Theoretical density   9.00 g/cm3
Offset from the most stable computed form   0.00 eV/f.u.
Energy relative to the elements   -568 meV/atom
Crystal system   tetragonal
Magnetization   14.38 μB/f.u.

a b c (Å): 3.8124 3.8124 7.7821
angles (deg): 90.00 90.00 90.00
Space group P4/mmm (No. 123)
One atom of each set of equivalent atoms:
Eu (0.0000, 0.0000, 0.2324) x2
Cd (0.5000, 0.5000, 0.5000) x1
Au (0.5000, 0.5000, 0.0000) x1